Entry 1:
# Cs2AlWI6

A geometry-optimized Cs2AlWI6 structure (PBE-GGA, the Alexandria database).

Unit cell a=8.4621 b=8.4621 c=8.4621 alpha=60.00 beta=60.00 gamma=60.00
Closest atoms and distances in Å follow each position.
Sites, in units of the cell vectors:
Cs1 0.2500 0.2500 0.2500  12 I 4.23
Cs2 0.7500 0.7500 0.7500  12 I 4.23
Al1 0.0000 0.0000 0.0000  6 I 3.16
W1 0.5000 0.5000 0.5000  6 I 2.83
I1 0.2637 0.2637 0.7363  1 W 2.83, 1 Al 3.16
I2 0.2637 0.7363 0.2637  1 W 2.83, 1 Al 3.16
I3 0.2637 0.7363 0.7363  1 W 2.83, 1 Al 3.16
I4 0.7363 0.2637 0.2637  1 W 2.83, 1 Al 3.16
I5 0.7363 0.2637 0.7363  1 W 2.83, 1 Al 3.16
I6 0.7363 0.7363 0.2637  1 W 2.83, 1 Al 3.16

Calculated values
N(E_F) = 0.000 states/eV/cell
formation energy from raw total energies = -55.4 kJ/mol of atoms

=====

Entry 2:
# Cu2RhAu

A geometry-optimized Cu2RhAu structure (PBE-GGA, the Alexandria database).

Unit cell a=8.8978 b=8.8978 c=8.8978 alpha=17.80 beta=17.80 gamma=17.80
Closest atoms and distances in Å follow each position.
Sites, in units of the cell vectors:
Cu1 0.0000 0.0000 0.0000  9 Cu 2.53-2.75, 3 Rh 2.63
Cu2 0.2584 0.2584 0.2584  9 Cu 2.53-2.75, 3 Au 2.76
Rh1 0.7464 0.7464 0.7464  3 Cu 2.63, 6 Rh 2.75, 3 Au 2.91
Au1 0.5057 0.5057 0.5057  6 Au 2.75, 3 Cu 2.76, 3 Rh 2.91

Calculated values
energy relative to the elements = 2.8 kcal/mol of atoms
N(E_F) = 3.837 states/eV/cell

=====

Entry 3:
# Ce2GdHo

A geometry-optimized Ce2GdHo structure (PBE-GGA, the Alexandria database).

Unit cell a=12.4053 b=12.4053 c=12.4053 alpha=15.59 beta=15.59 gamma=15.59
Closest atoms and distances in Å follow each position.
Sites, in units of the cell vectors:
Ce1 0.0855 0.0855 0.0855  1 Ho 3.14, 6 Ce 3.36
Ce2 0.9145 0.9145 0.9145  1 Ho 3.14, 6 Ce 3.36
Gd1 0.5000 0.5000 0.5000  6 Gd 3.36, 6 Ce 3.56
Ho1 0.0000 0.0000 0.0000  2 Ce 3.14, 6 Ho 3.36

Calculated values
energy relative to the elements = 5.4 kcal/mol of atoms
N(E_F) = 11.212 states/eV/cell
distance to the lowest polymorph of the same formula = 126 meV per atom

=====

Entry 4:
# Zn2Hg

A geometry-optimized Zn2Hg structure (PBE-GGA, the Alexandria database).

Unit cell a=6.5090 b=6.5090 c=6.5090 alpha=90.00 beta=90.00 gamma=90.00
Closest atoms and distances in Å follow each position.
Sites, in units of the cell vectors:
Zn1 0.1151 0.1151 0.1151  1 Zn 2.59, 3 Hg 2.72
Zn2 0.1151 0.3849 0.6151  1 Zn 2.59, 3 Hg 2.72
Zn3 0.3849 0.6151 0.1151  1 Zn 2.59, 3 Hg 2.72
Zn4 0.3849 0.8849 0.6151  1 Zn 2.59, 3 Hg 2.72
Zn5 0.6151 0.1151 0.3849  1 Zn 2.59, 3 Hg 2.72
Zn6 0.6151 0.3849 0.8849  1 Zn 2.59, 3 Hg 2.72
Zn7 0.8849 0.6151 0.3849  1 Zn 2.59, 3 Hg 2.72
Zn8 0.8849 0.8849 0.8849  1 Zn 2.59, 3 Hg 2.72
Hg1 0.0000 0.0000 0.5000  6 Zn 2.72
Hg2 0.0000 0.5000 0.0000  6 Zn 2.72
Hg3 0.5000 0.0000 0.0000  6 Zn 2.72
Hg4 0.5000 0.5000 0.5000  6 Zn 2.72

Calculated values
energy relative to the elements = 5.5 kcal/mol of atoms
N(E_F) = 3.967 states/eV/cell

=====

Entry 5:
# Y5Bi4H3

A geometry-optimized Y5Bi4H3 structure (PBE-GGA, the Alexandria database).

Unit cell a=8.2829 b=8.2829 c=10.2667 alpha=113.54 beta=113.54 gamma=30.30
Closest atoms and distances in Å follow each position.
Sites, in units of the cell vectors:
Y1 0.0000 0.0000 0.0000  4 H 2.16-2.24
Y2 0.1637 0.1637 0.3501  1 H 2.33
Y3 0.4291 0.4291 0.2079  2 H 2.46
Y4 0.5709 0.5709 0.7921  2 H 2.46
Y5 0.8363 0.8363 0.6499  1 H 2.33
Bi1 0.2023 0.2023 0.0650  3 Y 3.02-3.30, 2 Bi 3.24
Bi2 0.3837 0.3837 0.4818  5 Y 3.05-3.35
Bi3 0.6163 0.6163 0.5182  5 Y 3.05-3.35
Bi4 0.7977 0.7977 0.9350  3 Y 3.02-3.30, 2 Bi 3.24
H1 0.0047 0.0047 0.2207  4 Y 2.24-2.46
H2 0.5000 0.5000 0.0000  2 Y 2.16
H3 0.9953 0.9953 0.7793  4 Y 2.24-2.46

Calculated values
N(E_F) = 4.771 states/eV/cell
calculated total energy = -5.2432 eV per atom

=====

Entry 6:
# Zn3In

A geometry-optimized Zn3In structure (PBE-GGA, the Alexandria database).

Unit cell a=7.0913 b=7.0913 c=4.1815 alpha=90.00 beta=90.00 gamma=135.12
Closest atoms and distances in Å follow each position.
Sites, in units of the cell vectors:
Zn1 0.1222 0.8778 0.7500  6 Zn 2.63-2.84, 2 In 2.93
Zn2 0.1970 0.3283 0.7500  7 Zn 2.57-2.84
Zn3 0.3283 0.1970 0.2500  7 Zn 2.57-2.84
Zn4 0.6717 0.8030 0.7500  7 Zn 2.57-2.84
Zn5 0.8030 0.6717 0.2500  7 Zn 2.57-2.84
Zn6 0.8778 0.1222 0.2500  6 Zn 2.63-2.84, 2 In 2.93
In1 0.2928 0.7072 0.2500  8 Zn 2.93-3.08
In2 0.7072 0.2928 0.7500  8 Zn 2.93-3.08

Calculated values
energy relative to the elements = 1.6 kcal/mol of atoms
N(E_F) = 2.342 states/eV/cell

=====

Entry 7:
# Na2LaCuCl6

A geometry-optimized Na2LaCuCl6 structure (PBE-GGA, the Alexandria database).

Unit cell a=7.4279 b=7.4279 c=7.4279 alpha=60.00 beta=60.00 gamma=60.00
Closest atoms and distances in Å follow each position.
Sites, in units of the cell vectors:
Na1 0.2500 0.2500 0.2500  12 Cl 3.72
Na2 0.7500 0.7500 0.7500  12 Cl 3.72
La1 0.0000 0.0000 0.0000  6 Cl 2.75
Cu1 0.5000 0.5000 0.5000  6 Cl 2.50
Cl1 0.2616 0.2616 0.7384  1 Cu 2.50, 1 La 2.75
Cl2 0.2616 0.7384 0.2616  1 Cu 2.50, 1 La 2.75
Cl3 0.2616 0.7384 0.7384  1 Cu 2.50, 1 La 2.75
Cl4 0.7384 0.2616 0.2616  1 Cu 2.50, 1 La 2.75
Cl5 0.7384 0.2616 0.7384  1 Cu 2.50, 1 La 2.75
Cl6 0.7384 0.7384 0.2616  1 Cu 2.50, 1 La 2.75

Calculated values
formation energy from raw total energies = -150.2 kJ/mol of atoms

=====

Entry 8:
# CsC

A geometry-optimized CsC structure (PBE-GGA, the Alexandria database).

Unit cell a=7.4551 b=7.4551 c=7.4551 alpha=137.00 beta=63.99 gamma=135.00
Closest atoms and distances in Å follow each position.
Sites, in units of the cell vectors:
Cs1 0.0000 0.0000 0.0000  6 C 3.06-3.31
Cs2 0.5112 0.2280 0.2831  4 C 3.18-3.54
Cs3 0.9449 0.2280 0.7169  4 C 3.18-3.54
C1 0.1221 0.7276 0.3945  1 C 1.34
C2 0.2401 0.7401 0.5000  2 C 1.34
C3 0.3332 0.7276 0.6055  1 C 1.34

Calculated values
energy relative to the elements = 13.3 kcal/mol of atoms
N(E_F) = 0.324 states/eV/cell
distance to the lowest polymorph of the same formula = 270 meV per atom